No. 1
# Pa2RuWN6, optimized geometry, DFT PBE
# V = 13.201 Å³ per atom
# E_form (uncorrected) = -63.40 kJ per mole of atoms
data_Pa2RuWN6
_chemical_formula_sum 'Pa2 Ru1 W1 N6'
_cell_length_a 5.5559
_cell_length_b 5.5559
_cell_length_c 4.2765
_cell_angle_alpha 90.00
_cell_angle_beta 90.00
_cell_angle_gamma 90.00
_symmetry_space_group_name_H-M 'P 4 m m'
_symmetry_Int_Tables_number 99
loop_
_symmetry_equiv_pos_as_xyz
'x,y,z'
'-y,x,z'
'-x,-y,z'
'y,-x,z'
'-x,y,z'
'y,x,z'
'x,-y,z'
'-y,-x,z'
loop_
_atom_site_label
_atom_site_type_symbol
_atom_site_fract_x
_atom_site_fract_y
_atom_site_fract_z
Pa1 Pa 0.0000 0.5000 0.0000
Ru1 Ru 0.0000 0.0000 0.6939
W1 W 0.5000 0.5000 0.5948
N1 N 0.0000 0.0000 0.1757
N2 N 0.2572 0.2572 0.7193
N3 N 0.5000 0.5000 0.1702


No. 2
# PaSN, optimized geometry, DFT PBE
# V = 16.613 Å³ per atom
# E_form (uncorrected) = -129.94 kJ per mole of atoms
data_PaSN
_chemical_formula_sum 'Pa4 S4 N4'
_cell_length_a 3.7075
_cell_length_b 3.7075
_cell_length_c 14.5035
_cell_angle_alpha 90.00
_cell_angle_beta 90.00
_cell_angle_gamma 90.00
_symmetry_space_group_name_H-M 'I 4/m m m'
_symmetry_Int_Tables_number 139
_symmetry_space_group_name_Hall '-I 4 2'
loop_
_atom_site_label
_atom_site_type_symbol
_atom_site_fract_x
_atom_site_fract_y
_atom_site_fract_z
Pa1 Pa 0.0000 0.0000 0.1045
S1 S 0.0000 0.0000 0.3185
N1 N 0.0000 0.5000 0.0000


No. 3
# Pa5S5N2, optimized geometry, DFT PBE
# V = 19.372 Å³ per atom
# E_form (uncorrected) = -158.63 kJ per mole of atoms
data_Pa5S5N2
_chemical_formula_sum 'Pa10 S10 N4'
_cell_length_a 12.4935
_cell_length_b 3.7631
_cell_length_c 10.4545
_cell_angle_alpha 90.00
_cell_angle_beta 108.93
_cell_angle_gamma 90.00
_symmetry_space_group_name_H-M 'C 1 2/m 1'
_symmetry_Int_Tables_number 12
loop_
_symmetry_equiv_pos_as_xyz
'x,y,z'
'-x,-y,-z'
'-x,y,-z'
'x,-y,z'
'x+1/2,y+1/2,z'
'-x+1/2,-y+1/2,-z'
'-x+1/2,y+1/2,-z'
'x+1/2,-y+1/2,z'
loop_
_atom_site_label
_atom_site_type_symbol
_atom_site_fract_x
_atom_site_fract_y
_atom_site_fract_z
Pa1 Pa 0.0000 0.0000 0.0000
Pa2 Pa 0.1059 0.0000 0.3972
Pa3 Pa 0.1575 0.5000 0.7820
S1 S 0.0000 0.5000 0.5000
S2 S 0.1673 0.5000 0.0536
S3 S 0.2426 0.5000 0.3435
N1 N 0.0403 0.0000 0.7990


No. 4
# PaSN, optimized geometry, DFT PBE
# V = 17.798 Å³ per atom
# E_form (uncorrected) = -112.77 kJ per mole of atoms
data_PaSN
_chemical_formula_sum 'Pa4 S4 N4'
_cell_length_a 5.9775
_cell_length_b 5.9775
_cell_length_c 5.9775
_cell_angle_alpha 90.00
_cell_angle_beta 90.00
_cell_angle_gamma 90.00
_symmetry_space_group_name_H-M 'F -4 3 m'
_symmetry_Int_Tables_number 216
_symmetry_space_group_name_Hall 'F -4 2 3'
loop_
_atom_site_label
_atom_site_type_symbol
_atom_site_fract_x
_atom_site_fract_y
_atom_site_fract_z
Pa1 Pa 0.0000 0.0000 0.0000
S1 S 0.2500 0.2500 0.2500
N1 N 0.2500 0.2500 0.7500


No. 5
# Pa4S6N, optimized geometry, DFT PBE
# V = 21.109 Å³ per atom
# E_form (uncorrected) = -159.47 kJ per mole of atoms
data_Pa4S6N
_chemical_formula_sum 'Pa8 S12 N2'
_cell_length_a 8.8821
_cell_length_b 8.8821
_cell_length_c 6.7971
_cell_angle_alpha 90.00
_cell_angle_beta 90.00
_cell_angle_gamma 120.00
_symmetry_space_group_name_H-M 'P 63 m c'
_symmetry_Int_Tables_number 186
_symmetry_space_group_name_Hall 'P 6c -2c'
loop_
_atom_site_label
_atom_site_type_symbol
_atom_site_fract_x
_atom_site_fract_y
_atom_site_fract_z
Pa1 Pa 0.1939 0.3877 0.0000
Pa2 Pa 0.3333 0.6667 0.5556
S1 S 0.0610 0.5305 0.2848
S2 S 0.1375 0.2750 0.6132
N1 N 0.3333 0.6667 0.9018


No. 6
# Pa2SN, optimized geometry, DFT PBE
# V = 17.938 Å³ per atom
# E_form (uncorrected) = -150.73 kJ per mole of atoms
data_Pa2SN
_chemical_formula_sum 'Pa6 S3 N3'
_cell_length_a 3.5670
_cell_length_b 3.5670
_cell_length_c 19.5403
_cell_angle_alpha 90.00
_cell_angle_beta 90.00
_cell_angle_gamma 120.00
_symmetry_space_group_name_H-M 'R -3 m'
_symmetry_Int_Tables_number 166
_symmetry_space_group_name_Hall '-R 3 2"'
loop_
_atom_site_label
_atom_site_type_symbol
_atom_site_fract_x
_atom_site_fract_y
_atom_site_fract_z
Pa1 Pa 0.0000 0.0000 0.2386
S1 S 0.0000 0.0000 0.0000
N1 N 0.0000 0.0000 0.5000


No. 7
# Pa2SN, optimized geometry, DFT PBE
# V = 16.707 Å³ per atom
# E_form (uncorrected) = -79.54 kJ per mole of atoms
data_Pa2SN
_chemical_formula_sum 'Pa2 S1 N1'
_cell_length_a 3.2062
_cell_length_b 3.2062
_cell_length_c 6.5009
_cell_angle_alpha 90.00
_cell_angle_beta 90.00
_cell_angle_gamma 90.00
_symmetry_space_group_name_H-M 'P 4/m m m'
_symmetry_Int_Tables_number 123
_symmetry_space_group_name_Hall '-P 4 2'
loop_
_atom_site_label
_atom_site_type_symbol
_atom_site_fract_x
_atom_site_fract_y
_atom_site_fract_z
Pa1 Pa 0.0000 0.0000 0.2271
S1 S 0.5000 0.5000 0.5000
N1 N 0.5000 0.5000 0.0000


No. 8
# Pa3S3N, optimized geometry, DFT PBE
# V = 20.012 Å³ per atom
# E_form (uncorrected) = -130.05 kJ per mole of atoms
data_Pa3S3N
_chemical_formula_sum 'Pa9 S9 N3'
_cell_length_a 8.2589
_cell_length_b 8.2589
_cell_length_c 7.1142
_cell_angle_alpha 90.00
_cell_angle_beta 90.00
_cell_angle_gamma 120.00
_symmetry_space_group_name_H-M 'R 3 m'
_symmetry_Int_Tables_number 160
_symmetry_space_group_name_Hall 'R 3 -2"'
loop_
_atom_site_label
_atom_site_type_symbol
_atom_site_fract_x
_atom_site_fract_y
_atom_site_fract_z
Pa1 Pa 0.1838 0.3675 0.0000
S1 S 0.0590 0.5295 0.2620
N1 N 0.0000 0.0000 0.1998